[1]
A relaxed structure of ZrTlRu2, computed with PBE-GGA.

Cell: 9.497 9.497 9.497 Å, 154.15 154.15 36.89°
Sites, in units of the cell vectors:
Zr 0.000 0.000 0.000
Zr 0.750 0.250 0.500
Tl 0.250 0.750 0.500
Tl 0.500 0.500 0.000
Ru 0.057 0.625 0.932
Ru 0.375 0.307 0.432
Ru 0.693 0.125 0.068
Ru 0.875 0.943 0.568

Values from the calculation:
Calculated total energy ... -6.8231 eV per atom
Energy of formation from the pure elements ... 0.543 eV/atom
E above lowest polymorph ... 0.6402 eV/atom
Magnetic moment ... 0.0 μB/f.u.
Density ... 10.2 Mg/m³

[2]
A relaxed structure of TaV2InIr, computed with PBE-GGA.

Cell: 4.595 4.595 4.921 Å, 90.00 90.00 90.00°
Sites, in units of the cell vectors:
Ta 0.000 0.000 0.000
V 0.000 0.500 0.500
V 0.500 0.000 0.500
In 0.500 0.500 0.000
Ir 0.500 0.500 0.500

Values from the calculation:
Calculated total energy ... -7.1350 eV per atom
Energy of formation from the pure elements ... 1.203 eV/atom
Magnetic moment ... 0.0 μB/f.u.
Density ... 9.4 Mg/m³